VASP calculation (GGA-PBE) on a relaxed Ba6Te3P2I crystal.

Computed properties:
- symmetry = C2/m, No. 12
- crystal system = monoclinic
- E_form (uncorrected) (eV/f.u.) = -17.15

Unit cell a=4.858 b=9.920 c=10.947 alpha=102.52 beta=102.82 gamma=90.00
Sites, in units of the cell vectors:
Ba  0.325  0.893  0.650
Ba  0.673  0.574  0.347
Ba  0.675  0.107  0.350
Ba  0.011  0.269  0.023
Ba  0.989  0.731  0.977
Ba  0.327  0.426  0.653
Te  0.500  0.500  0.000
Te  0.841  0.164  0.682
Te  0.159  0.836  0.318
P  0.834  0.667  0.668
P  0.166  0.333  0.332
I  0.500  0.000  0.000

***

VASP calculation (GGA-PBE) on a relaxed Ce3TmPt3 crystal.

Computed properties:
- energy of formation (meV/atom) = -887
- symmetry = C2/m, No. 12
- crystal system = monoclinic

Unit cell a=6.974 b=6.974 c=7.241 alpha=89.91 beta=89.91 gamma=100.26
Sites, in units of the cell vectors:
Ce  0.626  0.626  0.379
Ce  0.175  0.825  0.500
Ce  0.825  0.175  0.500
Ce  0.248  0.752  0.000
Ce  0.752  0.248  0.000
Ce  0.374  0.374  0.621
Tm  0.752  0.752  0.870
Tm  0.248  0.248  0.130
Pt  0.925  0.925  0.199
Pt  0.985  0.500  0.728
Pt  0.500  0.985  0.728
Pt  0.015  0.500  0.272
Pt  0.500  0.015  0.272
Pt  0.075  0.075  0.801

***

VASP calculation (GGA-PBE) on a relaxed GaPHIrPtS crystal.

Computed properties:
- energy above the most stable polymorph in this dataset (kJ/mol of formula units) = 58
- symmetry = P1, No. 1
- crystal system = triclinic

Unit cell a=3.715 b=4.799 c=5.825 alpha=78.83 beta=88.70 gamma=78.24
Sites, in units of the cell vectors:
Ga  0.133  0.682  0.599
P  0.572  0.044  0.769
H  0.119  0.018  0.314
Ir  0.018  0.210  0.516
Pt  0.656  0.493  0.882
S  0.478  0.468  0.278